Record 1
CaPtW2 | PBE-GGA | relaxed

It has space group Fm-3m (No. 225), with a = 6.509 Å, b = 6.509 Å, c = 6.509 Å, α = 90.00°, β = 90.00° and γ = 90.00°. The inequivalent atoms are Ca at (0.000, 0.000, 0.000), Pt at (0.000, 0.000, 0.500) and W at (0.250, 0.250, 0.250).

For the total energy, the calculation gives -7.576 eV/atom. As for the formation energy from the elements: 0.911 eV per atom. The value obtained for the energy above the lowest structure with this stoichiometry is 740.5 meV per atom. As for the density of states at the Fermi level: 15.08 states/eV per cell.

Record 2
NaLaAs2Br | PBE-GGA | relaxed

It has space group P4/mmm (No. 123), with a = 5.011 Å, b = 5.011 Å, c = 5.288 Å, α = 90.00°, β = 90.00° and γ = 90.00°. The inequivalent atoms are Na at (0.000, 0.000, 0.000), La at (0.500, 0.500, 0.500), As at (0.000, 0.500, 0.000) and Br at (0.000, 0.000, 0.500).

For the total energy, the calculation gives -3.725 eV/atom. The value obtained for the energy above the lowest structure with this stoichiometry is 100.8 meV per atom. The value obtained for the uncorrected formation energy is -281 meV per atom. As for the density of states at the Fermi level: 2.32 states/eV per cell.

Record 3
Pr6Cd2Pt | PBE-GGA | relaxed

It has space group P2_1/c (No. 14), with a = 6.381 Å, b = 9.462 Å, c = 10.780 Å, α = 90.00°, β = 118.76° and γ = 90.00°. The inequivalent atoms are Pr at (0.063, 0.183, 0.469), Pr at (0.352, 0.676, 0.449), Pr at (0.388, 0.032, 0.282), Cd at (0.137, 0.106, 0.765) and Pt at (0.000, 0.000, 0.000).

For the total energy, the calculation gives -4.352 eV/atom. As for the formation energy from the elements: -0.291 eV per atom. As for the density of states at the Fermi level: 23.57 states/eV per cell.

Record 4
ErMgAl4 | PBE-GGA | relaxed

It has space group P-3m1 (No. 164), with a = 5.5163 Å, b = 5.5163 Å, c = 8.7800 Å, α = 90.00°, β = 90.00° and γ = 120.00°. The inequivalent atoms are Er at (0.3333, 0.6667, 0.4309), Mg at (0.3333, 0.6667, 0.0574), Al at (0.0000, 0.0000, 0.0000), Al at (0.0000, 0.0000, 0.5000) and Al at (0.1711, 0.3423, 0.7506).

For the total energy, the calculation gives -3.781 eV/atom. As for the formation energy from the elements: -0.260 eV per atom. The value obtained for the energy above the lowest structure with this stoichiometry is 0.0 meV per atom. As for the density of states at the Fermi level: 7.06 states/eV per cell.

Record 5
Mg4NiIr | PBE-GGA | relaxed

It has space group F-43m (No. 216), with a = 7.437 Å, b = 7.437 Å, c = 7.437 Å, α = 90.00°, β = 90.00° and γ = 90.00°. The inequivalent atoms are Mg at (0.125, 0.125, 0.125), Ni at (0.250, 0.250, 0.750) and Ir at (0.000, 0.000, 0.500).

For the total energy, the calculation gives -3.110 eV/atom. As for the formation energy from the elements: 0.394 eV per atom. The value obtained for the energy above the lowest structure with this stoichiometry is 612.6 meV per atom. As for the density of states at the Fermi level: 13.28 states/eV per cell.

Record 6
LiCe2Er3Te6 | PBE-GGA | relaxed

It has space group C2/m (No. 12), with a = 19.126 Å, b = 4.341 Å, c = 8.823 Å, α = 90.00°, β = 103.86° and γ = 90.00°. The inequivalent atoms are Li at (0.000, 0.000, 0.000), Ce at (0.169, 0.500, 0.337), Er at (0.000, 0.000, 0.500), Er at (0.170, 0.500, 0.831), Te at (0.003, 0.500, 0.755), Te at (0.162, 0.000, 0.590) and Te at (0.163, 0.000, 0.070).

For the total energy, the calculation gives -5.156 eV/atom. The value obtained for the uncorrected formation energy is -1296 meV per atom. As for the density of states at the Fermi level: 32.34 states/eV per cell.